1.
Below is TaTi3 after structural relaxation, with properties calculated at the PBE level.

```
TaTi3
1.0
6.526 0.000 0.000
0.000 6.526 0.000
0.000 0.000 6.526
Ta Ti
4 12
Cartesian
0.000 0.000 0.000
0.000 3.263 3.263
3.263 0.000 3.263
3.263 3.263 0.000
0.000 0.000 3.263
0.000 3.263 0.000
1.632 1.632 1.632
1.632 1.632 4.895
1.632 4.895 1.632
1.632 4.895 4.895
3.263 0.000 0.000
3.263 3.263 3.263
4.895 1.632 1.632
4.895 1.632 4.895
4.895 4.895 1.632
4.895 4.895 4.895
```

Summary:
DFT total energy, eV/atom: -8.79
Space-group type: Fm-3m (225)
DFT formation energy, eV/atom: 0.09
Magnetic moment, μB/f.u.: 0.000

2.
Below is Ta4Ti3 after structural relaxation, with properties calculated at the PBE level.

```
Ta4Ti3
1.0
7.739 0.000 0.000
-3.869 6.702 0.000
0.000 0.000 4.930
Ta Ti
8 6
Cartesian
-1.621 4.049 1.232
0.000 4.468 3.697
1.173 3.273 1.232
3.421 0.621 3.697
0.448 6.081 1.232
2.696 3.429 3.697
3.869 2.234 1.232
5.490 2.653 3.697
-2.662 5.504 3.697
0.434 1.644 3.697
1.641 0.446 1.232
2.228 6.256 3.697
3.435 5.058 1.232
6.532 1.198 1.232
```

Summary:
DFT total energy, eV/atom: -9.97
Space-group type: P6_3/m (176)
DFT formation energy, eV/atom: 0.19
Magnetic moment, μB/f.u.: 0.000

3.
Below is TaTiTl2 after structural relaxation, with properties calculated at the PBE level.

```
TaTiTl2
1.0
6.871 0.000 0.000
0.000 6.871 0.000
0.000 0.000 6.871
Ta Ti Tl
4 4 8
Cartesian
0.000 0.000 0.000
0.000 3.435 3.435
3.435 0.000 3.435
3.435 3.435 0.000
0.000 0.000 3.435
0.000 3.435 0.000
3.435 0.000 0.000
3.435 3.435 3.435
1.718 1.718 1.718
1.718 1.718 5.153
1.718 5.153 1.718
1.718 5.153 5.153
5.153 1.718 1.718
5.153 1.718 5.153
5.153 5.153 1.718
5.153 5.153 5.153
```

Summary:
Energy relative to the lowest polymorph listed for this composition, meV/atom: 0.0
DFT total energy, eV/atom: -5.54
Space-group type: Fm-3m (225)
DFT formation energy, eV/atom: 0.58
Magnetic moment, μB/f.u.: 0.000

4.
Below is Ta2TiTl after structural relaxation, with properties calculated at the PBE level.

```
Ta2TiTl
1.0
6.706 0.000 0.000
0.000 6.706 0.000
0.000 0.000 6.706
Ta Ti Tl
8 4 4
Cartesian
1.677 1.677 1.677
1.677 1.677 5.030
1.677 5.030 1.677
1.677 5.030 5.030
5.030 1.677 1.677
5.030 1.677 5.030
5.030 5.030 1.677
5.030 5.030 5.030
0.000 0.000 0.000
0.000 3.353 3.353
3.353 0.000 3.353
3.353 3.353 0.000
0.000 0.000 3.353
0.000 3.353 0.000
3.353 0.000 0.000
3.353 3.353 3.353
```

Summary:
Energy relative to the lowest polymorph listed for this composition, meV/atom: 0.0
DFT total energy, eV/atom: -7.98
Space-group type: Fm-3m (225)
DFT formation energy, eV/atom: 0.52
Magnetic moment, μB/f.u.: 0.792

5.
Below is Ta3TiTl after structural relaxation, with properties calculated at the PBE level.

```
Ta3TiTl
1.0
5.050 0.000 0.000
0.000 5.050 0.000
0.000 0.000 5.050
Ta Ti Tl
3 1 1
Cartesian
0.000 0.000 2.525
0.000 2.525 0.000
2.525 0.000 0.000
2.525 2.525 2.525
0.000 0.000 0.000
```

Summary:
Energy relative to the lowest polymorph listed for this composition, meV/atom: 961.1
DFT total energy, eV/atom: -6.82
Space-group type: Pm-3m (221)
DFT formation energy, eV/atom: 2.34
Magnetic moment, μB/f.u.: 1.023

6.
Below is TaTiTl2 after structural relaxation, with properties calculated at the PBE level.

```
TaTiTl2
1.0
7.700 0.000 0.000
0.000 7.700 0.000
0.000 0.000 5.947
Ta Ti Tl
4 4 8
Cartesian
0.000 0.000 0.000
0.000 3.850 1.487
3.850 0.000 4.460
3.850 3.850 2.973
0.000 0.000 2.973
0.000 3.850 4.460
3.850 0.000 1.487
3.850 3.850 0.000
1.883 1.925 3.717
1.925 5.733 5.203
1.925 5.817 2.230
1.967 1.925 0.743
5.733 5.775 0.743
5.775 1.883 2.230
5.775 1.967 5.203
5.817 5.775 3.717
```

Summary:
Energy relative to the lowest polymorph listed for this composition, meV/atom: 118.3
DFT total energy, eV/atom: -5.42
Space-group type: I-42d (122)
DFT formation energy, eV/atom: 0.70
Magnetic moment, μB/f.u.: 0.000